Here is a relaxed structure of RbBiH2 from Alexandria via LeMat-Bulk. Energies are from GGA-PBEsol.

a b c (Å): 5.308 5.308 7.549
angles (deg): 110.58 110.58 90.00
Fractional coordinates of all 8 atoms:
H (0.125, 0.962, 0.750)
H (0.625, 0.788, 0.750)
H (0.212, 0.875, 0.250)
H (0.038, 0.375, 0.250)
Bi (0.250, 0.750, 0.500)
Bi (0.000, 0.000, 0.000)
Rb (0.750, 0.250, 0.500)
Rb (0.500, 0.500, 0.000)

Computed properties:
As for the space group: I-42d. The energy comes out at -0.1034 Ha/atom. The calculation puts the calculated density at 5.34 Mg/m³. The size of the total moment comes out at 0.00 μB per cell.